Record 1
A plane-wave DFT calculation with PBE was carried out for Li3Pb2I7 after structural relaxation.

POSCAR file:
```
Li3Pb2I7
1.0
14.220 -4.013 0.000
14.220 4.013 0.000
0.000 0.000 7.997
Li Pb I
6 4 14
direct
0.090 0.494 0.453 Li
0.215 0.785 0.500 Li
0.494 0.090 0.953 Li
0.506 0.910 0.453 Li
0.785 0.215 0.000 Li
0.910 0.506 0.953 Li
0.138 0.652 0.996 Pb
0.348 0.862 0.996 Pb
0.652 0.138 0.496 Pb
0.862 0.348 0.496 Pb
0.056 0.245 0.162 I
0.106 0.894 0.847 I
0.167 0.414 0.091 I
0.245 0.056 0.662 I
0.322 0.529 0.353 I
0.414 0.167 0.591 I
0.471 0.678 0.353 I
0.529 0.322 0.853 I
0.586 0.833 0.091 I
0.678 0.471 0.853 I
0.755 0.944 0.162 I
0.833 0.586 0.591 I
0.894 0.106 0.347 I
0.944 0.755 0.662 I
```

volume	38.0	A^3/atom
electronic total energy	-69.01	eV for the cell shown
ΔE_f (raw)	-875	meV/atom
total magnetization	0.000	μB/cell

=====

Record 2
A plane-wave DFT calculation with PBE was carried out for TlRhS2Cl after structural relaxation.

POSCAR file:
```
TlRhS2Cl
1.0
4.675 0.000 0.000
0.000 4.675 0.000
0.000 0.000 5.169
Tl Rh S Cl
1 1 2 1
direct
0.000 0.000 0.000 Tl
0.500 0.500 0.500 Rh
0.000 0.500 0.500 S
0.500 0.000 0.500 S
0.500 0.500 0.000 Cl
```

volume	22.6	A^3/atom
electronic total energy	-20.32	eV for the cell shown
ΔE_f (raw)	-101	meV/atom
total magnetization	1.385	μB/cell

=====

Record 3
A plane-wave DFT calculation with PBE was carried out for MgFe10B3 after structural relaxation.

POSCAR file:
```
MgFe10B3
1.0
0.000 5.336 5.336
5.336 0.000 5.336
5.336 5.336 0.000
Mg Fe B
2 20 6
direct
0.250 0.250 0.250 Mg
0.750 0.750 0.750 Mg
0.000 0.000 0.337 Fe
0.000 0.000 0.663 Fe
0.000 0.337 0.000 Fe
0.000 0.337 0.663 Fe
0.000 0.663 0.000 Fe
0.000 0.663 0.337 Fe
0.158 0.614 0.614 Fe
0.337 0.000 0.000 Fe
0.337 0.000 0.663 Fe
0.337 0.663 0.000 Fe
0.386 0.386 0.386 Fe
0.386 0.386 0.842 Fe
0.386 0.842 0.386 Fe
0.614 0.158 0.614 Fe
0.614 0.614 0.158 Fe
0.614 0.614 0.614 Fe
0.663 0.000 0.000 Fe
0.663 0.000 0.337 Fe
0.663 0.337 0.000 Fe
0.842 0.386 0.386 Fe
0.273 0.273 0.727 B
0.273 0.727 0.273 B
0.273 0.727 0.727 B
0.727 0.273 0.273 B
0.727 0.273 0.727 B
0.727 0.727 0.273 B
```

volume	10.9	A^3/atom
electronic total energy	-216.04	eV for the cell shown
total magnetization	42.582	μB/cell

=====

> What is the electronic total energy in the second record?

-20.32 eV for the cell shown

=====

> What is the total magnetization in the first record?

0.000 μB/cell

=====

> The highest total magnetization belongs to which entry?

MgFe10B3